VASP calculation (PBE-GGA) on an optimized crystal structure of InRe2BiW.

The structure in CIF format:
```
data_InRe2BiW
_symmetry_space_group_name_H-M 'P 4/m m m'
_symmetry_Int_Tables_number 123
_symmetry_space_group_name_Hall '-P 4 2'
_cell_length_a 4.8755
_cell_length_b 4.8755
_cell_length_c 5.2543
_cell_angle_alpha 90.00
_cell_angle_beta 90.00
_cell_angle_gamma 90.00
loop_
_atom_site_label
_atom_site_fract_x
_atom_site_fract_y
_atom_site_fract_z
_atom_site_occupancy
In1 0.0000 0.0000 0.0000 1
Re1 0.0000 0.5000 0.0000 1
Bi1 0.0000 0.0000 0.5000 1
W1 0.5000 0.5000 0.5000 1
```

Properties
The calculation puts the formation energy at 3.1077 eV per atom.

***

VASP calculation (PBE-GGA) on an optimized crystal structure of CsTmBiI6.

The structure in CIF format:
```
data_CsTmBiI6
_symmetry_space_group_name_H-M 'P 1'
_symmetry_Int_Tables_number 1
_cell_length_a 8.0703
_cell_length_b 8.0782
_cell_length_c 8.3939
_cell_angle_alpha 92.48
_cell_angle_beta 92.54
_cell_angle_gamma 113.77
loop_
_symmetry_equiv_pos_as_xyz
'x,y,z'
loop_
_atom_site_label
_atom_site_fract_x
_atom_site_fract_y
_atom_site_fract_z
_atom_site_occupancy
Cs1 0.0000 0.0000 0.0000 1
Tm1 0.3399 0.6601 0.5003 1
Bi1 0.6859 0.3136 0.5000 1
I1 0.0526 0.3707 0.6837 1
I2 0.0546 0.6425 0.2660 1
I3 0.3584 0.9446 0.7354 1
I4 0.3873 0.3653 0.2862 1
I5 0.6289 0.9473 0.3166 1
I6 0.6353 0.6122 0.7137 1
```

Properties
As for the formation energy (no corrections): -1.0058 eV per atom.

***

VASP calculation (PBE-GGA) on an optimized crystal structure of V3PdRu.

The structure in CIF format:
```
data_V3PdRu
_symmetry_space_group_name_H-M 'P m -3 m'
_symmetry_Int_Tables_number 221
_symmetry_space_group_name_Hall '-P 4 2 3'
_cell_length_a 4.4978
_cell_length_b 4.4978
_cell_length_c 4.4978
_cell_angle_alpha 90.00
_cell_angle_beta 90.00
_cell_angle_gamma 90.00
loop_
_atom_site_label
_atom_site_fract_x
_atom_site_fract_y
_atom_site_fract_z
_atom_site_occupancy
V1 0.0000 0.0000 0.5000 1
Pd1 0.5000 0.5000 0.5000 1
Ru1 0.0000 0.0000 0.0000 1
```

Properties
The calculation puts the formation energy at 0.9674 eV per atom. For the energy relative to the lowest polymorph listed for this composition, the calculation gives 0 meV/atom.

***

VASP calculation (PBE-GGA) on an optimized crystal structure of ReAg3I2F6.

The structure in CIF format:
```
data_ReAg3I2F6
_symmetry_space_group_name_H-M 'C 1 2/m 1'
_symmetry_Int_Tables_number 12
_cell_length_a 14.3726
_cell_length_b 7.5279
_cell_length_c 5.0587
_cell_angle_alpha 90.00
_cell_angle_beta 96.29
_cell_angle_gamma 90.00
loop_
_symmetry_equiv_pos_as_xyz
'x,y,z'
'-x,-y,-z'
'-x,y,-z'
'x,-y,z'
'x+1/2,y+1/2,z'
'-x+1/2,-y+1/2,-z'
'-x+1/2,y+1/2,-z'
'x+1/2,-y+1/2,z'
loop_
_atom_site_label
_atom_site_fract_x
_atom_site_fract_y
_atom_site_fract_z
_atom_site_occupancy
Re1 0.0000 0.0000 0.0000 1
Ag1 0.0000 0.5000 0.5000 1
Ag2 0.2500 0.2500 0.0000 1
I1 0.1887 0.5000 0.6352 1
F1 0.0600 0.1834 0.2217 1
F2 0.1076 0.0000 0.8032 1
```

Properties
As for the formation energy (no corrections): -1.3335 eV per atom.

***

The records above give, respectively, energy values of -5.786, -3.062, -7.398, -4.278 eV per atom.
The records above give, respectively, V values of 25.0, 55.5, 18.2, 22.7 Å³ per atom.